[1]
Here is BaCu2BSe4 after structural relaxation from Alexandria. Energies are from GGA-PBE.

Output
ΔE_f (raw): -4.7 eV per formula unit
total energy: -4.4286 eV per atom

abc: 6.5234 6.2116 6.2116
angles: 84.05 58.33 58.33
Positions (direct):
Cu  0.5000  0.2508  0.7492
Cu  0.5000  0.7492  0.2508
Se  0.3640  0.1720  0.4641
Se  0.0001  0.8280  0.5359
Se  0.9999  0.4641  0.1720
Se  0.6360  0.5359  0.8280
Ba  0.0000  0.0000  0.0000
B  0.0000  0.5000  0.5000

[2]
Here is PmPrPb2 after structural relaxation from Alexandria. Energies are from GGA-PBE.

Output
total energy: -4.7488 eV per atom

abc: 3.6187 3.6187 9.2354
angles: 90.00 90.00 90.00
Positions (direct):
Pm  0.5000  0.5000  0.0000
Pb  0.0000  0.0000  0.7533
Pb  0.0000  0.0000  0.2467
Pr  0.5000  0.5000  0.5000

[3]
Here is AcMg2ZnGa2 after structural relaxation from Alexandria. Energies are from GGA-PBE.

Output
total energy: -2.4922 eV per atom

abc: 5.1927 5.1927 6.8398
angles: 112.31 112.31 90.00
Positions (direct):
Zn  0.0000  0.0000  0.0000
Ga  0.2040  0.2040  0.4080
Ga  0.7960  0.7960  0.5920
Ac  0.5000  0.5000  0.0000
Mg  0.2500  0.7500  0.5000
Mg  0.7500  0.2500  0.5000